## AlGa2PbF (PBE-GGA)

Data for a geometry-optimized AlGa2PbF structure.

Computed properties:
The raw formation energy is 0.008 eV per atom. The magnetization comes out at 0.0 μB per formula unit. The value obtained for the density of states at the Fermi level is 2.5 states/eV per cell.

Cell: 5.588 5.588 4.505 Å, 90.00 90.00 90.00°
Sites, in units of the cell vectors:
Al 0.000 0.000 0.000
Ga 0.000 0.500 0.500
Ga 0.500 0.000 0.500
Pb 0.500 0.500 0.500
F 0.500 0.500 0.000